{"formula": "LiMoPO2", "functional": "PBE+U", "state": "optimized geometry", "relative_energy_ev_per_atom": 1.0777, "dos_at_fermi_per_ev_atom": 0.546, "lattice_angstrom": [[3.722, 0.000, 0.000], [0.000, 3.722, 0.000], [0.000, 0.000, 4.330]], "species": ["Li", "Mo", "P", "O", "O"], "frac_coords": [[0.000, 0.000, 0.000], [0.500, 0.500, 0.500], [0.000, 0.000, 0.500], [0.000, 0.500, 0.000], [0.500, 0.000, 0.000]]}